Material: Nd5Ho3Hg2
Method: DFT, PBE-GGA
State: relaxed

Geometry as CIF:
```
data_Nd5Ho3Hg2
_symmetry_space_group_name_H-M 'I b a m'
_symmetry_Int_Tables_number 72
_symmetry_space_group_name_Hall '-I 2 2c'
_cell_length_a 11.6806
_cell_length_b 16.3669
_cell_length_c 6.8951
_cell_angle_alpha 90.00
_cell_angle_beta 90.00
_cell_angle_gamma 90.00
loop_
_atom_site_label
_atom_site_type_symbol
_atom_site_fract_x
_atom_site_fract_y
_atom_site_fract_z
Nd1 Nd 0.0000 0.0000 0.2500
Nd2 Nd 0.0000 0.1941 0.2500
Nd3 Nd 0.2312 0.0605 0.0000
Ho1 Ho 0.0000 0.5000 0.2500
Ho2 Ho 0.2243 0.3256 0.0000
Hg1 Hg 0.0457 0.3465 0.5000
```

The value obtained for the mass density is 8.149 Mg/m³. As for the density of states at the Fermi level: 62.45 states/eV per cell. The value obtained for the energy relative to the elements is 0.06 eV per atom. Its total DFT energy (no corrections) is -3.76 eV per atom.